# ScTc2Mo, relaxed, DFT PBE
# Raw total energy in eV/atom: -9.41
# Mass density in kg/m³: 8603
# Spin magnetization in μB/f.u.: 0.00
# Energy of formation from the pure elements in eV/atom: 0.065
data_ScTc2Mo
_cell_length_a 5.428
_cell_length_b 4.680
_cell_length_c 10.240
_cell_angle_alpha 90.00
_cell_angle_beta 90.00
_cell_angle_gamma 90.00
_symmetry_space_group_name_H-M 'P 1'
_symmetry_Int_Tables_number 1
loop_
_symmetry_equiv_pos_as_xyz
'x,y,z'
loop_
_atom_site_label
_atom_site_fract_x
_atom_site_fract_y
_atom_site_fract_z
Mo1 0.658 0.250 0.575
Mo2 0.842 0.250 0.075
Mo3 0.342 0.750 0.425
Mo4 0.158 0.750 0.925
Tc1 0.498 0.750 0.189
Tc2 0.032 0.750 0.170
Tc3 0.532 0.250 0.330
Tc4 0.002 0.750 0.689
Tc5 0.468 0.750 0.670
Tc6 0.998 0.250 0.311
Tc7 0.968 0.250 0.830
Tc8 0.502 0.250 0.811
Sc1 0.662 0.750 0.933
Sc2 0.162 0.250 0.567
Sc3 0.338 0.250 0.067
Sc4 0.838 0.750 0.433